This record from the Open Quantum Materials Database describes an optimized crystal structure of PaPH. The functional is PBE-GGA.

Properties
Electronic total energy ... -7.000 eV per atom
ρ ... 9.30 g/cm³
Crystal system ... orthorhombic

Cell: 5.320 5.320 5.320 Å, 137.75 92.26 102.73°
Sites, in units of the cell vectors:
H (0.563, 0.313, 0.250)
H (0.064, 0.313, 0.750)
P (0.647, 0.647, 0.000)
P (0.147, 0.647, 0.500)
Pa (0.230, 0.980, 0.250)
Pa (0.730, 0.980, 0.750)

---

This record from the Open Quantum Materials Database describes an optimized crystal structure of Pm2PH. The functional is PBE-GGA.

Properties
Electronic total energy ... -5.402 eV per atom
ρ ... 6.02 g/cm³
Crystal system ... tetragonal

Cell: 4.008 4.008 5.533 Å, 90.00 90.00 90.00°
Each line ends with the local moment (μB).
Sites, in units of the cell vectors:
H (0.500, 0.500, 0.500)  0.00
P (0.000, 0.000, 0.000)  0.00
Pm (0.500, 0.500, 0.000)  0.03
Pm (0.000, 0.000, 0.500)  0.11